1.
{
  "formula": "CaPa2H8",
  "functional": "GGA-PBE",
  "state": "optimized geometry",
  "cell": [[-1.7154, -2.4006, 2.4541], [-4.1011, 0.0638, -2.8042], [4.8897, -3.3143, -2.8248]],
  "species": ["H", "Pa", "H", "H", "H", "H", "H", "Ca", "H", "H", "Pa"],
  "frac_coords": [[0.6600, 0.4194, 0.3200], [0.1749, 0.6749, 0.3499], [0.3400, 0.0995, 0.6800], [0.0000, 0.2762, 0.0000], [0.3400, 0.5806, 0.6800], [0.0000, 0.7238, 0.0000], [0.1844, 0.1844, 0.3689], [0.5000, 0.0000, 0.0000], [0.6600, 0.9005, 0.3200], [0.8156, 0.8156, 0.6311], [0.8251, 0.3251, 0.6501]],
  "rho_g_cm3": 7.732,
  "final_energy_ev_per_atom": -4.733
}

2.
{
  "formula": "Ca2PaH12Rh3",
  "functional": "GGA-PBE",
  "state": "optimized geometry",
  "cell": [[-3.9146, -3.6121, -2.8088], [0.8640, -5.7384, 1.6077], [-4.3118, -1.8239, 3.7872]],
  "species": ["H", "Rh", "H", "Ca", "Rh", "H", "H", "H", "H", "Pa", "Rh", "H", "H", "H", "Ca", "H", "H", "H"],
  "frac_coords": [[0.4082, 0.8595, 0.8595], [0.0000, 0.0000, 0.5000], [0.8929, 0.2783, 0.2783], [0.3757, 0.3757, 0.3757], [0.0000, 0.5000, 0.0000], [0.2783, 0.2783, 0.8929], [0.7217, 0.7217, 0.1071], [0.2783, 0.8929, 0.2783], [0.1071, 0.7217, 0.7217], [0.0000, 0.0000, 0.0000], [0.5000, 0.0000, 0.0000], [0.5918, 0.1405, 0.1405], [0.8595, 0.8595, 0.4082], [0.1405, 0.5918, 0.1405], [0.6243, 0.6243, 0.6243], [0.7217, 0.1071, 0.7217], [0.8595, 0.4082, 0.8595], [0.1405, 0.1405, 0.5918]],
  "rho_g_cm3": 5.692,
  "final_energy_ev_per_atom": -4.525
}

3.
{
  "formula": "Ca4HPb2",
  "functional": "GGA-PBE",
  "state": "optimized geometry",
  "cell": [[6.2304, 0.0000, -0.6395], [0.0000, 6.9668, 0.0000], [-3.0490, 0.0000, 9.4301]],
  "species": ["Pb", "Pb", "Ca", "Ca", "Ca", "Ca", "Ca", "Ca", "Pb", "H", "H", "Ca", "Ca", "Pb"],
  "frac_coords": [[0.6577, 0.7500, 0.0313], [0.1824, 0.2500, 0.4134], [0.4623, 0.0003, 0.7204], [0.9053, 0.2500, 0.6413], [0.0947, 0.7500, 0.3587], [0.5377, 0.9997, 0.2796], [0.8968, 0.2500, 0.0600], [0.5377, 0.5003, 0.2796], [0.3423, 0.2500, 0.9687], [0.7147, 0.2500, 0.7930], [0.2853, 0.7500, 0.2070], [0.1032, 0.7500, 0.9400], [0.4623, 0.4997, 0.7204], [0.8176, 0.7500, 0.5866]],
  "rho_g_cm3": 4.832,
  "polymorph_energy_mev_per_atom": 0.0,
  "final_energy_ev_per_atom": -3.205
}

4.
{
  "formula": "Ca3HPb2",
  "functional": "GGA-PBE",
  "state": "optimized geometry",
  "cell": [[-3.2161, 5.0812, 3.1919], [4.7585, -1.9969, 7.9735], [4.9199, 1.0844, -4.0297]],
  "species": ["Pb", "Pb", "H", "Pb", "Ca", "Ca", "Ca", "Ca", "Pb", "H", "Ca", "Ca"],
  "frac_coords": [[0.2640, 0.4979, 0.6854], [0.5786, 0.0021, 0.3146], [0.9968, 0.7500, 0.0000], [0.4214, 0.9979, 0.6854], [0.0187, 0.8213, 0.7070], [0.6884, 0.3213, 0.7070], [0.6778, 0.7500, 0.0000], [0.9813, 0.1787, 0.2930], [0.7360, 0.5021, 0.3146], [0.0032, 0.2500, 0.0000], [0.3116, 0.6787, 0.2930], [0.3222, 0.2500, 0.0000]],
  "rho_g_cm3": 5.134,
  "final_energy_ev_per_atom": -3.234
}

5.
{
  "formula": "Ca2H2Pb",
  "functional": "GGA-PBE",
  "state": "optimized geometry",
  "cell": [[3.7587, 0.0000, 0.0000], [0.0000, 6.6049, -0.7024], [-1.8793, -2.4946, 8.4809]],
  "species": ["H", "H", "Ca", "Ca", "Pb", "H", "Ca", "Pb", "H", "Ca"],
  "frac_coords": [[0.5469, 0.8837, 0.5961], [0.9508, 0.6163, 0.4039], [0.9063, 0.2377, 0.3104], [0.5959, 0.2623, 0.6896], [0.2519, 0.2500, 0.0000], [0.0492, 0.3837, 0.5961], [0.4041, 0.7377, 0.3104], [0.7481, 0.7500, 0.0000], [0.4531, 0.1163, 0.4039], [0.0937, 0.7623, 0.6896]],
  "rho_g_cm3": 4.712,
  "polymorph_energy_mev_per_atom": 91.4,
  "final_energy_ev_per_atom": -3.385
}

6.
{
  "formula": "CaH2Pb2",
  "functional": "GGA-PBE",
  "state": "optimized geometry",
  "cell": [[6.5610, 0.0000, 0.0000], [0.0000, 6.5610, 0.0000], [0.0000, 0.0000, 4.9029]],
  "species": ["H", "H", "H", "Pb", "H", "Pb", "Ca", "Pb", "Pb", "Ca"],
  "frac_coords": [[0.2066, 0.7066, 0.0000], [0.2934, 0.2066, 0.0000], [0.7066, 0.7934, 0.0000], [0.1848, 0.6848, 0.5000], [0.7934, 0.2934, 0.0000], [0.8152, 0.3152, 0.5000], [0.0000, 0.0000, 0.0000], [0.3152, 0.1848, 0.5000], [0.6848, 0.8152, 0.5000], [0.5000, 0.5000, 0.0000]],
  "rho_g_cm3": 7.183,
  "polymorph_energy_mev_per_atom": 0.0,
  "final_energy_ev_per_atom": -3.311
}

7.
{
  "formula": "CaH2Pb2",
  "functional": "GGA-PBE",
  "state": "optimized geometry",
  "cell": [[-2.5123, -1.6211, -3.3776], [-0.4180, -3.9201, 2.1923], [-5.8870, -0.9487, 1.8220]],
  "species": ["Ca", "Pb", "Pb", "H", "H"],
  "frac_coords": [[0.0000, 0.0000, 0.0000], [0.7500, 0.2500, 0.5000], [0.2500, 0.7500, 0.5000], [0.4639, 0.4639, 0.0721], [0.5361, 0.5361, 0.9279]],
  "rho_g_cm3": 6.953,
  "polymorph_energy_mev_per_atom": 18.3,
  "final_energy_ev_per_atom": -3.293
}

8.
{
  "formula": "Ca2H2Pb",
  "functional": "GGA-PBE",
  "state": "optimized geometry",
  "cell": [[-3.2065, 1.5620, -0.3904], [-0.5723, -1.9190, -2.9772], [-3.1991, -5.5236, 4.1751]],
  "species": ["Ca", "H", "Ca", "H", "Pb"],
  "frac_coords": [[0.5000, 0.5000, 0.6967], [0.5000, 0.0000, 0.5000], [0.5000, 0.5000, 0.3033], [0.0000, 0.5000, 0.5000], [0.0000, 0.0000, 0.0000]],
  "rho_g_cm3": 4.894,
  "polymorph_energy_mev_per_atom": 150.9,
  "final_energy_ev_per_atom": -3.326
}

9.
{
  "formula": "Ca6HPb3",
  "functional": "GGA-PBE",
  "state": "optimized geometry",
  "cell": [[6.6123, 0.0000, 0.2822], [0.0000, 9.0322, 0.0000], [0.4182, 0.0000, 10.3357]],
  "species": ["H", "Ca", "Ca", "Pb", "Ca", "Ca", "Ca", "Ca", "Pb", "Ca", "Pb", "H", "Ca", "Pb", "Ca", "Pb", "Ca", "Pb", "Ca", "Ca"],
  "frac_coords": [[0.5000, 0.5000, 0.5000], [0.8979, 0.6862, 0.9421], [0.1021, 0.3138, 0.0579], [0.0000, 0.0000, 0.5000], [0.6021, 0.1862, 0.5579], [0.1322, 0.3326, 0.4379], [0.8800, 0.9658, 0.2214], [0.3979, 0.8138, 0.4421], [0.5000, 0.5000, 0.0000], [0.6200, 0.4658, 0.2786], [0.5768, 0.8816, 0.7499], [0.0000, 0.0000, 0.0000], [0.3800, 0.5342, 0.7214], [0.4232, 0.1184, 0.2501], [0.8678, 0.6674, 0.5621], [0.0768, 0.6184, 0.2499], [0.6322, 0.1674, 0.9379], [0.9232, 0.3816, 0.7501], [0.3678, 0.8326, 0.0621], [0.1200, 0.0342, 0.7786]],
  "rho_g_cm3": 4.651,
  "final_energy_ev_per_atom": -3.032
}

10.
{
  "formula": "Ca5HPb2",
  "functional": "GGA-PBE",
  "state": "optimized geometry",
  "cell": [[7.1738, 0.0000, -0.0004], [0.0002, 7.1738, -0.0004], [-3.5870, -3.5869, 4.7036]],
  "species": ["Ca", "Ca", "H", "Ca", "Ca", "Ca", "Pb", "Pb"],
  "frac_coords": [[0.2520, 0.2520, 0.0103], [0.7531, 0.7531, 0.5062], [0.9905, 0.9905, 0.9809], [0.7583, 0.7583, 0.0103], [0.7583, 0.2520, 0.0104], [0.2520, 0.7583, 0.0103], [0.7564, 0.2563, 0.5128], [0.2563, 0.7564, 0.5128]],
  "rho_g_cm3": 4.225,
  "final_energy_ev_per_atom": -2.938
}

11.
{
  "formula": "Ca4HPb2",
  "functional": "GGA-PBE",
  "state": "optimized geometry",
  "cell": [[-4.2549, 2.0372, -0.1176], [-1.8629, -3.9889, -1.6990], [1.4918, -1.8194, 9.1890]],
  "species": ["Pb", "H", "Pb", "Ca", "Ca", "Ca", "Ca"],
  "frac_coords": [[0.3658, 0.3658, 0.7316], [0.0000, 0.0000, 0.0000], [0.6342, 0.6342, 0.2684], [0.5000, 0.0000, 0.0000], [0.1805, 0.1805, 0.3610], [0.0000, 0.5000, 0.0000], [0.8195, 0.8195, 0.6390]],
  "rho_g_cm3": 4.835,
  "polymorph_energy_mev_per_atom": 8.9,
  "final_energy_ev_per_atom": -3.196
}

12.
{
  "formula": "CaHPb3",
  "functional": "GGA-PBE",
  "state": "optimized geometry",
  "cell": [[5.9709, 0.0000, 0.0000], [0.0000, 5.9709, 0.0000], [0.0000, 0.0000, 5.9709]],
  "species": ["Pb", "Pb", "Ca", "H", "Pb"],
  "frac_coords": [[0.0000, 0.0000, 0.5000], [0.5000, 0.0000, 0.0000], [0.0000, 0.0000, 0.0000], [0.5000, 0.5000, 0.5000], [0.0000, 0.5000, 0.0000]],
  "rho_g_cm3": 5.169,
  "polymorph_energy_mev_per_atom": 1065.8,
  "final_energy_ev_per_atom": -2.313
}

13.
{
  "formula": "Ca2H2Pb",
  "functional": "GGA-PBE",
  "state": "optimized geometry",
  "cell": [[-4.3552, -3.3063, -5.5273], [-3.8577, -4.0040, 5.4348], [-2.1265, 2.3859, 0.2483]],
  "species": ["H", "H", "Ca", "Ca", "Pb", "Ca", "Pb", "H", "H", "Ca"],
  "frac_coords": [[0.9059, 0.5941, 0.0000], [0.5941, 0.0941, 0.0000], [0.6444, 0.8556, 0.5000], [0.8556, 0.3556, 0.5000], [0.5000, 0.5000, 0.0000], [0.3556, 0.1444, 0.5000], [0.0000, 0.0000, 0.0000], [0.4059, 0.9059, 0.0000], [0.0941, 0.4059, 0.0000], [0.1444, 0.6444, 0.5000]],
  "rho_g_cm3": 4.959,
  "polymorph_energy_mev_per_atom": 410.7,
  "final_energy_ev_per_atom": -3.066
}

14.
{
  "formula": "Ca6HPb2",
  "functional": "GGA-PBE",
  "state": "optimized geometry",
  "cell": [[-6.4564, -1.1748, -2.8992], [2.4300, -5.9913, -2.9839], [-2.7370, -5.1863, 8.1843]],
  "species": ["H", "Ca", "Pb", "Pb", "Ca", "Ca", "Pb", "Ca", "Ca", "Ca", "Ca", "Pb", "H", "Ca", "Ca", "Ca", "Ca", "Ca"],
  "frac_coords": [[0.0000, 0.0000, 0.5000], [0.2423, 0.2556, 0.0189], [0.5000, 0.0034, 0.2500], [0.0000, 0.5034, 0.2501], [0.7556, 0.7425, 0.5189], [0.0372, 0.0000, 0.7512], [0.0000, 0.4966, 0.7499], [0.2577, 0.7556, 0.4811], [0.7577, 0.7444, 0.9811], [0.9628, 0.0000, 0.2488], [0.7444, 0.2425, 0.9811], [0.5000, 0.9966, 0.7500], [0.5000, 0.5000, 0.0000], [0.2556, 0.7575, 0.0189], [0.7423, 0.2444, 0.5189], [0.5372, 0.5000, 0.2512], [0.4628, 0.5000, 0.7488], [0.2444, 0.2575, 0.4811]],
  "rho_g_cm3": 4.235,
  "final_energy_ev_per_atom": -2.951
}

15.
{
  "formula": "CaHPb3",
  "functional": "GGA-PBE",
  "state": "optimized geometry",
  "cell": [[-2.7588, -2.9304, -2.9860], [-0.9116, -3.0698, 3.8549], [-4.0832, 2.6653, 1.1569]],
  "species": ["Pb", "Ca", "Pb", "H", "Pb"],
  "frac_coords": [[0.0000, 0.5000, 0.0000], [0.5000, 0.5000, 0.5000], [0.0000, 0.0000, 0.5000], [0.0000, 0.0000, 0.0000], [0.5000, 0.0000, 0.0000]],
  "rho_g_cm3": 8.743,
  "polymorph_energy_mev_per_atom": 0.0,
  "final_energy_ev_per_atom": -3.379
}

16.
{
  "formula": "Ca2HPb2",
  "functional": "GGA-PBE",
  "state": "optimized geometry",
  "cell": [[6.8748, 0.0000, 0.0000], [0.0000, 6.8748, 0.0000], [0.0000, 0.0000, 5.5078]],
  "species": ["Pb", "Ca", "Ca", "Pb", "Ca", "Pb", "H", "Ca", "H", "Pb"],
  "frac_coords": [[0.6619, 0.8381, 0.5000], [0.8269, 0.6731, 0.0000], [0.6731, 0.1731, 0.0000], [0.3381, 0.1619, 0.5000], [0.1731, 0.3269, 0.0000], [0.1619, 0.6619, 0.5000], [0.0000, 0.0000, 0.0000], [0.3269, 0.8269, 0.0000], [0.5000, 0.5000, 0.0000], [0.8381, 0.3381, 0.5000]],
  "rho_g_cm3": 6.322,
  "final_energy_ev_per_atom": -3.213
}

17.
{
  "formula": "CaHPb2",
  "functional": "GGA-PBE",
  "state": "optimized geometry",
  "cell": [[-3.2352, -3.0449, 2.7838], [-1.0257, 1.1564, 5.0098], [-4.7423, 1.7716, 1.3635]],
  "species": ["Ca", "Pb", "Pb", "H"],
  "frac_coords": [[0.5000, 0.5000, 0.5000], [0.7500, 0.7500, 0.7500], [0.2500, 0.2500, 0.2500], [0.0000, 0.0000, 0.0000]],
  "rho_g_cm3": 7.422,
  "polymorph_energy_mev_per_atom": 355.6,
  "final_energy_ev_per_atom": -2.854
}

18.
{
  "formula": "Ca2H2Pb",
  "functional": "GGA-PBE",
  "state": "optimized geometry",
  "cell": [[3.7096, 0.0000, 0.0000], [0.0000, 3.7096, 0.0000], [1.8548, 1.8548, 7.1306]],
  "species": ["Ca", "Ca", "Pb", "H", "H"],
  "frac_coords": [[0.6599, 0.6599, 0.6801], [0.3401, 0.3401, 0.3199], [0.0000, 0.0000, 0.0000], [0.7500, 0.2500, 0.5000], [0.2500, 0.7500, 0.5000]],
  "rho_g_cm3": 4.897,
  "polymorph_energy_mev_per_atom": 0.0,
  "final_energy_ev_per_atom": -3.477
}

19.
{
  "formula": "Ca3H3Pb",
  "functional": "GGA-PBE",
  "state": "optimized geometry",
  "cell": [[-1.4973, -6.3386, 1.1953], [2.3936, -4.7646, -3.9265], [6.7063, -4.3334, 3.7630]],
  "species": ["H", "Pb", "Ca", "H", "Ca", "H", "H", "Ca", "Pb", "H", "H", "Ca", "Ca", "Ca"],
  "frac_coords": [[0.1316, 0.4380, 0.6048], [0.3324, 0.3324, 0.0028], [0.7492, 0.4562, 0.6868], [0.4380, 0.8256, 0.6048], [0.1078, 0.7492, 0.6868], [0.1744, 0.8684, 0.3952], [0.8684, 0.5620, 0.3952], [0.2508, 0.5438, 0.3132], [0.6676, 0.6676, 0.9972], [0.8256, 0.1316, 0.6048], [0.5620, 0.1744, 0.3952], [0.4562, 0.1078, 0.6868], [0.5438, 0.8922, 0.3132], [0.8922, 0.2508, 0.3132]],
  "rho_g_cm3": 3.633,
  "final_energy_ev_per_atom": -3.264
}

20.
{
  "formula": "Ca8H2Pb3",
  "functional": "GGA-PBE",
  "state": "optimized geometry",
  "cell": [[6.9669, 0.0000, 0.0000], [3.4835, 6.0335, 0.0000], [3.4835, 2.0112, 8.9480]],
  "species": ["Ca", "Ca", "H", "Ca", "Ca", "Pb", "Ca", "Ca", "H", "Ca", "Ca", "Pb", "Pb"],
  "frac_coords": [[0.2729, 0.2729, 0.6805], [0.7737, 0.2729, 0.6805], [0.4007, 0.4007, 0.7979], [0.2729, 0.7737, 0.6805], [0.7271, 0.7271, 0.3195], [0.2038, 0.2038, 0.3885], [0.3174, 0.3174, 0.0478], [0.7271, 0.2263, 0.3195], [0.5993, 0.5993, 0.2021], [0.6826, 0.6826, 0.9522], [0.2263, 0.7271, 0.3195], [0.7962, 0.7962, 0.6115], [0.0000, 0.0000, 0.0000]],
  "rho_g_cm3": 4.169,
  "final_energy_ev_per_atom": -3.059
}

21.
{
  "formula": "CaH3Pb",
  "functional": "GGA-PBE",
  "state": "optimized geometry",
  "cell": [[4.2166, 0.0000, 0.0000], [0.0000, 4.2166, 0.0000], [0.0000, 0.0000, 4.2166]],
  "species": ["Ca", "H", "H", "H", "Pb"],
  "frac_coords": [[0.0000, 0.0000, 0.0000], [0.0000, 0.5000, 0.0000], [0.0000, 0.0000, 0.5000], [0.5000, 0.0000, 0.0000], [0.5000, 0.5000, 0.5000]],
  "rho_g_cm3": 5.544,
  "polymorph_energy_mev_per_atom": 0.0,
  "final_energy_ev_per_atom": -3.130
}

22.
{
  "formula": "CaH3Pb",
  "functional": "GGA-PBE",
  "state": "optimized geometry",
  "cell": [[-1.0133, -2.7703, 3.2041], [2.9504, -2.8255, -1.5098], [3.0391, 1.8193, 2.5341]],
  "species": ["Pb", "Ca", "H", "H", "H"],
  "frac_coords": [[0.0000, 0.0000, 0.0000], [0.5000, 0.5000, 0.5000], [0.0000, 0.0000, 0.5000], [0.0000, 0.5000, 0.0000], [0.5000, 0.0000, 0.0000]],
  "rho_g_cm3": 5.031,
  "polymorph_energy_mev_per_atom": 278.9,
  "final_energy_ev_per_atom": -2.851
}

23.
{
  "formula": "CaHPb2",
  "functional": "GGA-PBE",
  "state": "optimized geometry",
  "cell": [[8.2149, 0.0000, 0.0000], [0.0000, 8.2149, 0.0000], [4.1074, 4.1074, 2.9361]],
  "species": ["Ca", "Pb", "Ca", "H", "Pb", "Pb", "H", "Pb"],
  "frac_coords": [[0.0000, 0.0000, 0.0000], [0.3750, 0.4810, 0.7500], [0.7500, 0.2500, 0.5000], [0.5000, 0.5000, 0.0000], [0.2310, 0.6250, 0.2500], [0.5190, 0.1250, 0.2500], [0.2500, 0.7500, 0.5000], [0.8750, 0.7690, 0.7500]],
  "rho_g_cm3": 7.634,
  "polymorph_energy_mev_per_atom": 0.0,
  "final_energy_ev_per_atom": -3.210
}